Record 1
An optimized crystal structure of Pm2Ho6Tl. Source: Alexandria via LeMat-Bulk, functional GGA-PBE.

Properties
**Energy of formation**: 0.000 eV/atom

Cell lengths 9.593, 9.593, 9.593 Å; angles 158.99, 116.04, 68.14 degrees
Fractional positions:
Pm: 0.153 0.153 0.000
Pm: 0.847 0.847 0.000
Ho: 0.161 0.823 0.338
Ho: 0.198 0.500 0.698
Ho: 0.486 0.823 0.662
Ho: 0.514 0.177 0.338
Ho: 0.802 0.500 0.302
Ho: 0.839 0.177 0.662
Tl: 0.500 0.000 0.500

***

Record 2
An optimized crystal structure of Li2Ca2ScIn5. Source: Alexandria via LeMat-Bulk, functional GGA-PBE.

Properties
**Energy of formation**: -0.352 eV/atom

Cell lengths 11.179, 11.179, 3.818 Å; angles 90.00, 90.00, 90.00 degrees
Fractional positions:
Li: 0.125 0.375 0.000
Li: 0.375 0.875 0.000
Li: 0.625 0.125 0.000
Li: 0.875 0.625 0.000
Ca: 0.175 0.675 0.000
Ca: 0.325 0.175 0.000
Ca: 0.675 0.825 0.000
Ca: 0.825 0.325 0.000
Sc: 0.000 0.000 0.000
Sc: 0.500 0.500 0.000
In: 0.000 0.500 0.500
In: 0.065 0.204 0.500
In: 0.204 0.935 0.500
In: 0.296 0.435 0.500
In: 0.435 0.704 0.500
In: 0.500 0.000 0.500
In: 0.565 0.296 0.500
In: 0.704 0.565 0.500
In: 0.796 0.065 0.500
In: 0.935 0.796 0.500

***

Record 3
An optimized crystal structure of LiSmSc2In4. Source: Alexandria via LeMat-Bulk, functional GGA-PBE.

Properties
**Energy of formation**: -0.388 eV/atom

Cell lengths 8.985, 8.985, 8.985 Å; angles 32.79, 32.79, 32.79 degrees
Fractional positions:
Li: 0.000 0.000 0.000
Sm: 0.500 0.500 0.500
Sc: 0.252 0.252 0.252
Sc: 0.748 0.748 0.748
In: 0.119 0.119 0.119
In: 0.371 0.371 0.371
In: 0.629 0.629 0.629
In: 0.881 0.881 0.881

***

Record 4
An optimized crystal structure of NiPtRh14. Source: Alexandria via LeMat-Bulk, functional GGA-PBE.

Properties
**Energy of formation**: 0.023 eV/atom

Cell lengths 8.893, 5.430, 5.430 Å; angles 60.00, 90.00, 90.00 degrees
Fractional positions:
Ni: 0.000 0.000 0.000
Pt: 0.000 0.500 0.500
Rh: 0.000 0.500 0.998
Rh: 0.000 0.998 0.500
Rh: 0.248 0.166 0.166
Rh: 0.250 0.164 0.668
Rh: 0.250 0.668 0.164
Rh: 0.251 0.667 0.667
Rh: 0.500 0.333 0.333
Rh: 0.500 0.333 0.834
Rh: 0.500 0.833 0.833
Rh: 0.500 0.834 0.333
Rh: 0.749 0.667 0.667
Rh: 0.750 0.164 0.668
Rh: 0.750 0.668 0.164
Rh: 0.752 0.166 0.166

***

Record 5
An optimized crystal structure of GdErZnFe. Source: Alexandria via LeMat-Bulk, functional GGA-PBE.

Properties
**Energy of formation**: -0.082 eV/atom

Cell lengths 4.905, 4.905, 4.905 Å; angles 60.00, 60.00, 60.00 degrees
Fractional positions:
Gd: 0.000 0.000 0.000
Er: 0.500 0.500 0.500
Zn: 0.750 0.750 0.750
Fe: 0.250 0.250 0.250

***

Record 6
An optimized crystal structure of K2Tl6Pt. Source: Alexandria via LeMat-Bulk, functional GGA-PBE.

Properties
**E above lowest polymorph**: 29 kJ/mol of formula units
**Energy of formation**: -0.074 eV/atom

Cell lengths 7.359, 7.359, 7.359 Å; angles 60.04, 60.04, 60.04 degrees
Fractional positions:
K: 0.250 0.250 0.250
K: 0.750 0.750 0.750
Tl: 0.228 0.228 0.772
Tl: 0.228 0.772 0.228
Tl: 0.228 0.772 0.772
Tl: 0.772 0.228 0.228
Tl: 0.772 0.228 0.772
Tl: 0.772 0.772 0.228
Pt: 0.500 0.500 0.500

***

Record 7
An optimized crystal structure of NdY7Er2. Source: Alexandria via LeMat-Bulk, functional GGA-PBE.

Properties
**E above lowest polymorph**: 556 kJ/mol of formula units
**Energy of formation**: 0.693 eV/atom

Cell lengths 9.076, 9.076, 5.682 Å; angles 90.00, 90.00, 121.70 degrees
Fractional positions:
Nd: 0.000 0.000 0.000
Y: 0.060 0.295 0.500
Y: 0.225 0.775 0.000
Y: 0.295 0.060 0.500
Y: 0.500 0.500 0.500
Y: 0.705 0.940 0.500
Y: 0.775 0.225 0.000
Y: 0.940 0.705 0.500
Er: 0.297 0.703 0.500
Er: 0.703 0.297 0.500

***

Record 8
An optimized crystal structure of KVHg. Source: Alexandria via LeMat-Bulk, functional GGA-PBE.

Properties
**E above lowest polymorph**: 13 kJ/mol of formula units
**Energy of formation**: 0.342 eV/atom

Cell lengths 3.207, 4.567, 12.347 Å; angles 79.44, 87.34, 89.98 degrees
Fractional positions:
K: 0.000 0.000 0.000
K: 0.489 0.661 0.677
V: 0.106 0.866 0.270
V: 0.388 0.795 0.407
Hg: 0.581 0.395 0.212
Hg: 0.913 0.266 0.465

***

Record 9
An optimized crystal structure of HoTlV. Source: Alexandria via LeMat-Bulk, functional GGA-PBE.

Properties
**Energy of formation**: 0.048 eV/atom

Cell lengths 3.319, 3.319, 12.661 Å; angles 90.00, 90.00, 90.00 degrees
Fractional positions:
Ho: 0.250 0.250 0.198
Ho: 0.750 0.750 0.802
Tl: 0.250 0.250 0.599
Tl: 0.750 0.750 0.401
V: 0.250 0.250 0.961
V: 0.750 0.750 0.039

***

Record 10
An optimized crystal structure of Sm2Fe15Si2. Source: Alexandria via LeMat-Bulk, functional GGA-PBE.

Properties
**E above lowest polymorph**: 0 kJ/mol of formula units

Cell lengths 6.372, 6.372, 6.402 Å; angles 97.26, 97.26, 82.55 degrees
Fractional positions:
Sm: 0.000 0.000 0.000
Sm: 0.681 0.681 0.321
Fe: 0.002 0.002 0.500
Fe: 0.047 0.342 0.362
Fe: 0.047 0.639 0.659
Fe: 0.183 0.681 0.318
Fe: 0.250 0.250 0.754
Fe: 0.341 0.341 0.154
Fe: 0.341 0.848 0.661
Fe: 0.342 0.047 0.362
Fe: 0.344 0.640 0.952
Fe: 0.439 0.439 0.562
Fe: 0.639 0.047 0.659
Fe: 0.640 0.344 0.952
Fe: 0.681 0.183 0.318
Fe: 0.682 0.682 0.815
Fe: 0.848 0.341 0.661
Si: 0.004 0.498 0.997
Si: 0.498 0.004 0.997

***

Record 11
An optimized crystal structure of AlTcSe2Br. Source: Alexandria via LeMat-Bulk, functional GGA-PBE.

Properties
**E above lowest polymorph**: 130 kJ/mol of formula units

Cell lengths 4.964, 4.964, 4.932 Å; angles 90.00, 90.00, 90.00 degrees
Fractional positions:
Al: 0.000 0.000 0.000
Tc: 0.500 0.500 0.500
Se: 0.000 0.500 0.000
Se: 0.500 0.000 0.000
Br: 0.000 0.000 0.500

***

Record 12
An optimized crystal structure of SrMgSiIr2. Source: Alexandria via LeMat-Bulk, functional GGA-PBE.

Cell lengths 4.995, 4.995, 5.362 Å; angles 90.00, 90.00, 90.00 degrees
Fractional positions:
Sr: 0.000 0.000 0.000
Mg: 0.000 0.000 0.500
Si: 0.500 0.500 0.500
Ir: 0.000 0.500 0.000
Ir: 0.500 0.000 0.000

***

Record 13
An optimized crystal structure of YMo2Rh. Source: Alexandria via LeMat-Bulk, functional GGA-PBE.

Properties
**E above lowest polymorph**: 91 kJ/mol of formula units
**Energy of formation**: 0.201 eV/atom

Cell lengths 5.544, 5.544, 2.871 Å; angles 98.91, 98.91, 122.26 degrees
Fractional positions:
Y: 0.000 0.000 0.000
Mo: 0.000 0.500 0.500
Mo: 0.500 0.000 0.500
Rh: 0.500 0.500 0.000

***

Record 14
An optimized crystal structure of ZrAgTe. Source: Alexandria via LeMat-Bulk, functional GGA-PBE.

Properties
**E above lowest polymorph**: 53 kJ/mol of formula units

Cell lengths 4.806, 4.806, 4.806 Å; angles 60.00, 60.00, 60.00 degrees
Fractional positions:
Zr: 0.000 0.000 0.000
Ag: 0.250 0.250 0.250
Te: 0.750 0.750 0.750

***

Record 15
An optimized crystal structure of TaSb2Mo. Source: Alexandria via LeMat-Bulk, functional GGA-PBE.

Cell lengths 3.351, 3.351, 6.810 Å; angles 90.00, 90.00, 90.00 degrees
Fractional positions:
Ta: 0.000 0.000 0.000
Sb: 0.500 0.500 0.259
Sb: 0.500 0.500 0.741
Mo: 0.000 0.000 0.500

***

Record 16
An optimized crystal structure of LiYH4. Source: Alexandria via LeMat-Bulk, functional GGA-PBE.

Cell lengths 3.614, 3.614, 4.941 Å; angles 90.00, 90.00, 90.00 degrees
Fractional positions:
Li: 0.000 0.000 0.000
Y: 0.500 0.500 0.500
H: 0.000 0.500 0.247
H: 0.000 0.500 0.753
H: 0.500 0.000 0.247
H: 0.500 0.000 0.753

***

Record 17
An optimized crystal structure of LiTbZn2Ga2. Source: Alexandria via LeMat-Bulk, functional GGA-PBE.

Properties
**Energy of formation**: -0.416 eV/atom

Cell lengths 4.318, 4.318, 6.724 Å; angles 90.00, 90.00, 120.00 degrees
Fractional positions:
Li: 0.000 0.000 0.000
Tb: 0.000 0.000 0.500
Zn: 0.333 0.667 0.801
Zn: 0.667 0.333 0.199
Ga: 0.333 0.667 0.223
Ga: 0.667 0.333 0.777

***

Record 18
An optimized crystal structure of Zr3NbV. Source: Alexandria via LeMat-Bulk, functional GGA-PBE.

Properties
**E above lowest polymorph**: 0 kJ/mol of formula units
**Energy of formation**: 0.829 eV/atom

Cell lengths 4.849, 4.849, 4.849 Å; angles 90.00, 90.00, 90.00 degrees
Fractional positions:
Zr: 0.000 0.000 0.500
Zr: 0.000 0.500 0.000
Zr: 0.500 0.000 0.000
Nb: 0.500 0.500 0.500
V: 0.000 0.000 0.000

***

Record 19
An optimized crystal structure of NaTmCO4. Source: Alexandria via LeMat-Bulk, functional GGA-PBE.

Cell lengths 5.910, 5.910, 5.910 Å; angles 125.01, 112.60, 92.41 degrees
Fractional positions:
Na: 0.500 0.000 0.000
Na: 0.500 0.500 0.500
Tm: 0.000 0.000 0.000
Tm: 0.500 0.000 0.500
C: 0.115 0.365 0.750
C: 0.885 0.635 0.250
O: 0.147 0.721 0.427
O: 0.206 0.279 0.927
O: 0.235 0.261 0.527
O: 0.235 0.708 0.973
O: 0.765 0.292 0.027
O: 0.765 0.739 0.473
O: 0.794 0.721 0.073
O: 0.853 0.279 0.573

***

Record 20
An optimized crystal structure of Ba2LaTi. Source: Alexandria via LeMat-Bulk, functional GGA-PBE.

Properties
**E above lowest polymorph**: 38 kJ/mol of formula units
**Energy of formation**: 0.768 eV/atom

Cell lengths 7.661, 7.661, 7.661 Å; angles 102.09, 102.09, 125.54 degrees
Fractional positions:
Ba: 0.100 0.125 0.475
Ba: 0.375 0.900 0.025
Ba: 0.650 0.625 0.525
Ba: 0.875 0.350 0.975
La: 0.250 0.750 0.500
La: 0.500 0.500 0.000
Ti: 0.000 0.000 0.000
Ti: 0.750 0.250 0.500

***

Number 1: final energy -4.370 eV/atom. Number 2: final energy -3.137 eV/atom. Number 3: final energy -4.169 eV/atom. Number 4: final energy -7.149 eV/atom. Number 5: final energy -7.177 eV/atom. Number 6: final energy -2.567 eV/atom. Number 7: final energy -5.221 eV/atom. Number 8: final energy -3.164 eV/atom. Number 9: final energy -5.306 eV/atom. Number 10: final energy -7.902 eV/atom. Number 11: final energy -4.057 eV/atom. Number 12: final energy -3.072 eV/atom. Number 13: final energy -8.668 eV/atom. Number 14: final energy -4.912 eV/atom. Number 15: final energy -7.507 eV/atom. Number 16: final energy -4.026 eV/atom. Number 17: final energy -2.940 eV/atom. Number 18: final energy -8.138 eV/atom. Number 19: final energy -6.764 eV/atom. Number 20: final energy -3.399 eV/atom.